# 1
Material: LaCd2Rh
Method: DFT, PBE-GGA
State: relaxed

Calculated values
- Size of the total moment: 0.0 μB/cell
- ρ: 8.049 g/cm³
- ΔH_f (0 K): -0.2363 eV/atom
- SG: I-42d, No. 122

Unit cell a=11.8062 b=11.8062 c=11.8062 alpha=159.99 beta=159.99 gamma=28.44
Fractional coordinates of all 8 atoms:
La (0.0000, 0.0000, 0.0000)
La (0.7500, 0.2500, 0.5000)
Cd (0.1452, 0.6250, 0.0202)
Cd (0.3750, 0.3952, 0.5202)
Cd (0.6048, 0.1250, 0.9798)
Cd (0.8750, 0.8548, 0.4798)
Rh (0.2500, 0.7500, 0.5000)
Rh (0.5000, 0.5000, 0.0000)



# 2
Material: TbGd3
Method: DFT, PBE-GGA
State: relaxed

Calculated values
- Size of the total moment: 23.3 μB/cell
- E above lowest polymorph: 0 meV per atom
- ρ: 7.951 g/cm³
- ΔH_f (0 K): -0.0013 eV/atom
- SG: Imm2, No. 44

Unit cell a=6.8203 b=6.8203 c=6.8203 alpha=149.11 beta=64.24 gamma=125.20
Fractional coordinates of all 4 atoms:
Tb (0.0000, 0.0000, 0.0000)
Gd (0.0874, 0.3379, 0.7495)
Gd (0.5026, 0.0026, 0.5000)
Gd (0.5884, 0.3379, 0.2505)



# 3
Material: CaMgAlPt2
Method: DFT, PBE-GGA
State: relaxed

Calculated values
- Size of the total moment: 0.0 μB/cell
- ρ: 8.051 g/cm³
- ΔH_f (0 K): -0.9149 eV/atom
- SG: I-4m2, No. 119

Unit cell a=6.5028 b=6.5028 c=6.5028 alpha=142.92 beta=142.92 gamma=53.44
Fractional coordinates of all 5 atoms:
Ca (0.0000, 0.0000, 0.0000)
Mg (0.2500, 0.7500, 0.5000)
Al (0.7500, 0.2500, 0.5000)
Pt (0.3849, 0.3849, 0.0000)
Pt (0.6151, 0.6151, 0.0000)



# 4
Material: Ho4CuSn2
Method: DFT, PBE-GGA
State: relaxed

Calculated values
- Size of the total moment: 0.0 μB/cell
- ρ: 8.324 g/cm³
- ΔH_f (0 K): -0.2811 eV/atom
- SG: C2/m, No. 12

Unit cell a=8.6299 b=8.6299 c=6.8215 alpha=112.71 beta=112.71 gamma=24.24
Fractional coordinates of all 7 atoms:
Ho (0.0852, 0.0852, 0.4351)
Ho (0.3824, 0.3824, 0.0782)
Ho (0.6176, 0.6176, 0.9218)
Ho (0.9148, 0.9148, 0.5649)
Cu (0.0000, 0.0000, 0.0000)
Sn (0.2512, 0.2512, 0.3055)
Sn (0.7488, 0.7488, 0.6945)



# 5
Material: ReBiOs3
Method: DFT, PBE-GGA
State: relaxed

Calculated values
- Size of the total moment: 0.0 μB/cell
- E above lowest polymorph: 1733 meV per atom
- ρ: 14.295 g/cm³
- ΔH_f (0 K): 3.6873 eV/atom
- SG: Pm-3m, No. 221

Unit cell a=4.8232 b=4.8232 c=4.8232 alpha=90.00 beta=90.00 gamma=90.00
Fractional coordinates of all 5 atoms:
Re (0.0000, 0.0000, 0.0000)
Bi (0.5000, 0.5000, 0.5000)
Os (0.0000, 0.5000, 0.5000)
Os (0.5000, 0.0000, 0.5000)
Os (0.5000, 0.5000, 0.0000)



# 6
Material: ScTaSN2
Method: DFT, PBE-GGA
State: relaxed

Calculated values
- Uncorrected formation energy: -0.57 eV per atom
- Size of the total moment: 0.0 μB/cell
- E above lowest polymorph: 0 meV per atom
- ρ: 6.059 g/cm³
- SG: P4/mmm, No. 123

Unit cell a=4.0024 b=4.0024 c=4.8928 alpha=90.00 beta=90.00 gamma=90.00
Fractional coordinates of all 5 atoms:
Sc (0.0000, 0.0000, 0.0000)
Ta (0.5000, 0.5000, 0.5000)
S (0.5000, 0.5000, 0.0000)
N (0.0000, 0.5000, 0.5000)
N (0.5000, 0.0000, 0.5000)



# 7
Material: Pm4Nd3Dy5
Method: DFT, PBE-GGA
State: relaxed

Calculated values
- Size of the total moment: 0.0 μB/cell
- E above lowest polymorph: 0 meV per atom
- ρ: 7.580 g/cm³
- ΔH_f (0 K): 0.0143 eV/atom
- SG: P-1, No. 2

Unit cell a=6.2562 b=7.2226 c=8.8493 alpha=90.04 beta=90.09 gamma=90.12
Fractional coordinates of all 12 atoms:
Pm (0.1679, 0.9996, 0.1691)
Pm (0.3316, 0.2507, 0.8323)
Pm (0.6684, 0.7493, 0.1677)
Pm (0.8321, 0.0004, 0.8309)
Nd (0.3322, 0.7496, 0.8324)
Nd (0.5000, 0.5000, 0.5000)
Nd (0.6678, 0.2504, 0.1676)
Dy (0.0004, 0.2505, 0.5001)
Dy (0.9996, 0.7495, 0.4999)
Dy (0.1654, 0.5000, 0.1688)
Dy (0.5000, 0.0000, 0.5000)
Dy (0.8346, 0.5000, 0.8312)



# 8
Material: CaTi4O8
Method: DFT, PBE-GGA
State: relaxed

Calculated values
- Uncorrected formation energy: -2.96 eV per atom
- Size of the total moment: 1.0 μB/cell
- E above lowest polymorph: 11 meV per atom
- ρ: 3.449 g/cm³
- SG: R-3m, No. 166

Unit cell a=6.6295 b=6.6295 c=6.6295 alpha=53.18 beta=53.18 gamma=53.18
Fractional coordinates of all 13 atoms:
Ca (0.0000, 0.0000, 0.0000)
Ti (0.0000, 0.0000, 0.5000)
Ti (0.0000, 0.5000, 0.0000)
Ti (0.5000, 0.0000, 0.0000)
Ti (0.5000, 0.5000, 0.5000)
O (0.2232, 0.7349, 0.7349)
O (0.2252, 0.2252, 0.2252)
O (0.2651, 0.2651, 0.7768)
O (0.2651, 0.7767, 0.2651)
O (0.7349, 0.2232, 0.7349)
O (0.7349, 0.7349, 0.2233)
O (0.7748, 0.7748, 0.7748)
O (0.7767, 0.2651, 0.2651)



# 9
Material: ZrIn2Se
Method: DFT, PBE-GGA
State: relaxed

Calculated values
- Uncorrected formation energy: -0.16 eV per atom
- Size of the total moment: 0.0 μB/cell
- ρ: 7.181 g/cm³
- SG: P4/mmm, No. 123

Unit cell a=4.9525 b=4.9525 c=3.7697 alpha=90.00 beta=90.00 gamma=90.00
Fractional coordinates of all 4 atoms:
Zr (0.0000, 0.0000, 0.0000)
In (0.0000, 0.5000, 0.5000)
In (0.5000, 0.0000, 0.5000)
Se (0.5000, 0.5000, 0.0000)



# 10
Material: In2HgRhBr
Method: DFT, PBE-GGA
State: relaxed

Calculated values
- Uncorrected formation energy: -0.28 eV per atom
- Size of the total moment: 0.0 μB/cell
- ρ: 7.112 g/cm³
- SG: P4/mmm, No. 123

Unit cell a=5.2130 b=5.2130 c=5.2671 alpha=90.00 beta=90.00 gamma=90.00
Fractional coordinates of all 5 atoms:
In (0.0000, 0.5000, 0.0000)
In (0.5000, 0.0000, 0.0000)
Hg (0.0000, 0.0000, 0.5000)
Rh (0.0000, 0.0000, 0.0000)
Br (0.5000, 0.5000, 0.5000)



# 11
Material: ZrVFe
Method: DFT, PBE-GGA
State: relaxed

Calculated values
- Size of the total moment: 2.4 μB/cell
- E above lowest polymorph: 12 meV per atom
- ρ: 7.152 g/cm³
- ΔH_f (0 K): -0.1907 eV/atom
- SG: Amm2, No. 38

Unit cell a=8.1698 b=5.0867 c=5.0867 alpha=60.45 beta=90.00 gamma=90.00
Fractional coordinates of all 12 atoms:
Zr (0.1808, 0.0000, 0.0000)
Zr (0.3060, 0.6668, 0.6668)
Zr (0.6940, 0.6668, 0.6668)
Zr (0.8192, 0.0000, 0.0000)
V (0.2366, 0.3316, 0.3316)
V (0.5000, 0.1679, 0.6733)
V (0.5000, 0.6733, 0.1679)
V (0.7634, 0.3316, 0.3316)
Fe (0.0000, 0.5046, 0.9925)
Fe (0.0000, 0.5066, 0.5066)
Fe (0.0000, 0.9925, 0.5046)
Fe (0.5000, 0.1692, 0.1692)



# 12
Material: Cs2Rb9Hg4
Method: DFT, PBE-GGA
State: relaxed

Calculated values
- Size of the total moment: 0.0 μB/cell
- ρ: 3.044 g/cm³
- ΔH_f (0 K): -0.0767 eV/atom
- SG: P-3m1, No. 164

Unit cell a=6.5234 b=6.5234 c=27.1957 alpha=90.00 beta=90.00 gamma=120.00
Fractional coordinates of all 15 atoms:
Cs (0.3333, 0.6667, 0.2824)
Cs (0.6667, 0.3333, 0.7176)
Rb (0.0000, 0.0000, 0.0000)
Rb (0.0000, 0.0000, 0.1653)
Rb (0.0000, 0.0000, 0.3847)
Rb (0.0000, 0.0000, 0.6153)
Rb (0.0000, 0.0000, 0.8347)
Rb (0.3333, 0.6667, 0.0694)
Rb (0.3333, 0.6667, 0.4629)
Rb (0.6667, 0.3333, 0.5371)
Rb (0.6667, 0.3333, 0.9306)
Hg (0.3333, 0.6667, 0.6074)
Hg (0.3333, 0.6667, 0.9123)
Hg (0.6667, 0.3333, 0.0877)
Hg (0.6667, 0.3333, 0.3926)



Energy per entry: -0.2766, -0.8614, -0.3527, -0.3400, -0.4642, -0.6148, -0.3439, -0.6315, -0.3334, -0.2381, -0.6542, -0.0626 Ry per atom